1.
A plane-wave DFT calculation with PBE-GGA was carried out for Sm2ZrSbO6 after structural relaxation.

```
data_Sm2ZrSbO6
_symmetry_space_group_name_H-M 'P 1'
_symmetry_Int_Tables_number 1
_cell_length_a 4.347
_cell_length_b 5.407
_cell_length_c 6.338
_cell_angle_alpha 82.50
_cell_angle_beta 79.46
_cell_angle_gamma 89.08
loop_
_symmetry_equiv_pos_as_xyz
'x,y,z'
loop_
_atom_site_label
_atom_site_fract_x
_atom_site_fract_y
_atom_site_fract_z
O1 0.199 0.080 0.257
O2 0.801 0.920 0.743
O3 0.766 0.706 0.301
Sb1 0.500 0.000 0.500
O4 0.277 0.692 0.943
Sm1 0.294 0.497 0.261
O5 0.234 0.294 0.699
Sm2 0.706 0.503 0.739
O6 0.723 0.308 0.057
Zr1 0.000 0.000 0.000
```

Total DFT energy (no corrections) (Ry/atom): -0.5627


2.
A plane-wave DFT calculation with PBE-GGA was carried out for ZrSn2SbO6 after structural relaxation.

```
data_ZrSn2SbO6
_symmetry_space_group_name_H-M 'P 1'
_symmetry_Int_Tables_number 1
_cell_length_a 5.062
_cell_length_b 5.116
_cell_length_c 6.029
_cell_angle_alpha 103.71
_cell_angle_beta 102.98
_cell_angle_gamma 103.90
loop_
_symmetry_equiv_pos_as_xyz
'x,y,z'
loop_
_atom_site_label
_atom_site_fract_x
_atom_site_fract_y
_atom_site_fract_z
O1 0.257 0.748 0.004
Sn1 0.252 0.744 0.495
Zr1 0.000 0.000 0.000
O2 0.830 0.825 0.244
Sn2 0.748 0.256 0.505
Sb1 0.500 0.500 0.000
O3 0.644 0.641 0.750
O4 0.356 0.359 0.250
O5 0.170 0.175 0.756
O6 0.743 0.252 0.996
```

Total DFT energy (no corrections) (Ry/atom): -0.4968


3.
A plane-wave DFT calculation with PBE-GGA was carried out for SrZr2Sb2O7 after structural relaxation.

```
data_SrZr2Sb2O7
_symmetry_space_group_name_H-M 'P 1'
_symmetry_Int_Tables_number 1
_cell_length_a 8.159
_cell_length_b 8.159
_cell_length_c 8.159
_cell_angle_alpha 39.86
_cell_angle_beta 39.86
_cell_angle_gamma 39.86
loop_
_symmetry_equiv_pos_as_xyz
'x,y,z'
loop_
_atom_site_label
_atom_site_fract_x
_atom_site_fract_y
_atom_site_fract_z
O1 0.051 0.477 0.777
O2 0.477 0.777 0.051
O3 0.777 0.051 0.477
O4 0.223 0.523 0.949
O5 0.000 0.000 0.000
Zr1 0.087 0.087 0.087
Sb1 0.705 0.705 0.705
O6 0.949 0.223 0.523
Sr1 0.500 0.500 0.500
O7 0.523 0.949 0.223
Zr2 0.913 0.913 0.913
Sb2 0.295 0.295 0.295
```

Total DFT energy (no corrections) (Ry/atom): -0.5355


4.
A plane-wave DFT calculation with PBE-GGA was carried out for Ta2SbO4 after structural relaxation.

```
data_Ta2SbO4
_symmetry_space_group_name_H-M 'P 1'
_symmetry_Int_Tables_number 1
_cell_length_a 6.572
_cell_length_b 6.572
_cell_length_c 6.572
_cell_angle_alpha 119.99
_cell_angle_beta 90.02
_cell_angle_gamma 119.99
loop_
_symmetry_equiv_pos_as_xyz
'x,y,z'
loop_
_atom_site_label
_atom_site_fract_x
_atom_site_fract_y
_atom_site_fract_z
Ta1 0.375 0.250 0.625
O1 0.208 0.806 0.403
O2 0.542 0.694 0.847
O3 0.597 0.806 0.403
Ta2 0.375 0.750 0.125
Sb1 0.000 0.000 0.000
O4 0.597 0.194 0.403
O5 0.153 0.694 0.847
O6 0.153 0.306 0.847
Ta3 0.875 0.250 0.625
O7 0.597 0.194 0.792
O8 0.153 0.306 0.458
Sb2 0.750 0.500 0.250
Ta4 0.375 0.750 0.625
```

Total DFT energy (no corrections) (Ry/atom): -0.6063